PBE Li3YU2Te6, relaxed; crystal system = monoclinic; ΔE_f (raw) = -0.9297 eV per atom; M_tot = 6.01 μB per cell; raw total energy = -64.8 eV/cell; SG = No. 12
1.0
3.744 -6.485 0.000
3.744 6.485 0.000
-2.493 0.000 7.127
Li Y U Te
3 1 2 6
direct
0.000 0.000 0.000
0.334 0.666 0.000
0.666 0.334 0.000
0.500 0.500 0.500
0.167 0.833 0.500
0.833 0.167 0.500
0.082 0.413 0.240
0.255 0.255 0.759
0.413 0.082 0.240
0.587 0.918 0.760
0.745 0.745 0.241
0.918 0.587 0.760